# 1
Here is an optimized crystal structure of NaHoB from OQMD. Energies are from GGA-PBE.

Computed properties:
ΔE to the lowest computed polymorph: 12.65 kcal/mol of atoms
Uncorrected energy: -3.130 eV per atom

```
3
Lattice="1.079 -2.803 3.267 0.176 1.442 4.193 -3.080 -1.293 2.922" Properties=species:S:1:pos:R:3 pbc="T T T"
Na -0.913 -1.327 5.191
B 0.000 0.000 0.000
Ho -0.456 -0.664 2.595
```



# 2
Here is an optimized crystal structure of K3TaTe3Se from OQMD. Energies are from GGA-PBE.

Computed properties:
Uncorrected energy: -4.376 eV per atom

```
8
Lattice="-2.572 -2.674 6.505 6.653 3.300 0.967 -4.905 4.810 -2.982" Properties=species:S:1:pos:R:3 pbc="T T T"
K -3.466 1.302 1.880
K 0.749 4.032 -0.651
K 1.815 0.612 3.684
Ta -0.810 5.343 4.414
Te -3.178 4.188 4.085
Te 0.931 3.651 5.489
Te 0.101 6.312 2.117
Se -0.263 1.736 1.435
```



# 3
Here is an optimized crystal structure of MgInNi2 from OQMD. Energies are from GGA-PBE.

Computed properties:
Uncorrected energy: -4.048 eV per atom

```
16
Lattice="-4.256 -4.233 -0.078 1.493 -1.604 5.626 -4.291 4.271 2.356" Properties=species:S:1:pos:R:3 pbc="T T T"
In -2.836 0.676 2.565
In -2.072 -4.378 4.161
In -0.691 -1.459 1.387
In -4.218 -2.243 5.339
Mg -2.819 -3.576 1.348
Mg -2.090 -0.126 5.378
Mg 0.056 -2.261 4.200
Mg -4.964 -1.441 2.526
Ni -2.472 2.401 4.580
Ni -1.073 1.068 0.589
Ni -3.201 -1.049 0.550
Ni -5.346 1.086 1.728
Ni -3.218 3.203 1.767
Ni -4.600 0.284 4.541
Ni -2.454 -1.851 3.363
Ni -0.326 0.265 3.402
```



- Among the records above, which one has the lowest uncorrected energy?
  K3TaTe3Se



- The lowest uncorrected energy belongs to which entry?
  K3TaTe3Se



- Which value of uncorrected energy does entry 3 give?
  -4.048 eV per atom